(1)
DFT (GGA-PBE) results for a relaxed KCaGa3 crystal.

Calculated density in g/cm³: 2.6
Space group: Pm-3m, No. 221
Crystal system: cubic
E_form in eV per atom: 0.391
Offset from the most stable computed form in eV per atom: 0.000

The structure in POSCAR format:
```
KCaGa3
1.0
5.724 0.000 0.000
0.000 5.724 0.000
0.000 0.000 5.724
K Ca Ga
1 1 3
direct
0.000 0.000 0.000
0.500 0.500 0.500
0.000 0.500 0.500
0.500 0.000 0.500
0.500 0.500 0.000
```

---

(2)
DFT (GGA-PBE) results for a relaxed K3CaGa crystal.

Calculated density in g/cm³: 1.3
Space group: Pm-3m, No. 221
Crystal system: cubic
E_form in eV per atom: 0.307
Offset from the most stable computed form in eV per atom: 0.000

The structure in POSCAR format:
```
K3CaGa
1.0
6.584 0.000 0.000
0.000 6.584 0.000
0.000 0.000 6.584
K Ca Ga
3 1 1
direct
0.000 0.000 0.500
0.000 0.500 0.000
0.500 0.000 0.000
0.500 0.500 0.500
0.000 0.000 0.000
```

---

(3)
DFT (GGA-PBE) results for a relaxed KCaGa3 crystal.

Calculated density in g/cm³: 2.7
Space group: Pm-3m, No. 221
Crystal system: cubic
E_form in eV per atom: 0.703
Offset from the most stable computed form in eV per atom: 0.312

The structure in POSCAR format:
```
KCaGa3
1.0
5.594 0.000 0.000
0.000 5.594 0.000
0.000 0.000 5.594
K Ca Ga
1 1 3
direct
0.000 0.000 0.000
0.500 0.500 0.500
0.000 0.000 0.500
0.000 0.500 0.000
0.500 0.000 0.000
```

---

no.,DOS(E_F) (states/eV per cell)
1,7.592
2,4.365
3,4.374